1.
Computed, not measured: a relaxed Pm9Sm2Ho crystal at the GGA-PBE level of DFT.

The structure in POSCAR format:
```
Pm9Sm2Ho
1.0
-4.2946 0.2420 2.8118
-2.7739 -1.3051 -4.1244
1.5590 -14.8897 3.6629
Pm Sm Ho
9 2 1
direct
0.5000 0.5000 0.0000
0.5000 0.5000 0.3326
0.5000 0.5000 0.6674
0.5000 0.0000 0.1654
0.5000 0.0000 0.5000
0.5000 0.0000 0.8346
0.0000 0.5000 0.1654
0.0000 0.5000 0.5000
0.0000 0.5000 0.8346
0.0000 0.0000 0.3326
0.0000 0.0000 0.6674
0.0000 0.0000 0.0000
```

Output
Its uncorrected energy is -56.6 eV per formula unit. The formation enthalpy at 0 K comes out at 0.02 eV per atom.



2.
Computed, not measured: a relaxed Pm2Sm4Ho crystal at the GGA-PBE level of DFT.

The structure in POSCAR format:
```
Pm2Sm4Ho
1.0
-1.7215 -5.1595 -2.9432
5.5147 -3.0753 2.1654
-4.7924 -1.1042 10.6366
Pm Sm Ho
4 8 2
direct
0.6021 0.7500 0.9938
0.3979 0.2500 0.0062
0.2871 0.2500 0.4263
0.7129 0.7500 0.5737
0.6474 0.5089 0.2859
0.0276 0.7500 0.8590
0.9724 0.2500 0.1410
0.6474 0.9911 0.2859
0.8487 0.2500 0.5524
0.3526 0.0089 0.7141
0.3526 0.4911 0.7141
0.1513 0.7500 0.4476
0.1442 0.7500 0.1597
0.8558 0.2500 0.8403
```

Output
Its uncorrected energy is -32.1 eV per formula unit. Its energy above the most stable polymorph in this dataset is 110 meV per atom. The formation enthalpy at 0 K comes out at 0.12 eV per atom.



3.
Computed, not measured: a relaxed Pm7Sm2Ho crystal at the GGA-PBE level of DFT.

The structure in POSCAR format:
```
Pm7Sm2Ho
1.0
3.5421 0.0000 0.0000
0.0000 9.9647 -2.7145
0.0000 -0.6491 10.3074
Pm Sm Ho
7 2 1
direct
0.0000 0.6765 0.3235
0.0000 0.3235 0.6765
0.5000 0.1280 0.3820
0.5000 0.8720 0.6180
0.5000 0.3820 0.1280
0.5000 0.6180 0.8720
0.5000 0.5000 0.5000
0.5000 0.8307 0.1693
0.5000 0.1693 0.8307
0.0000 0.0000 0.0000
```

Output
Its uncorrected energy is -43.4 eV per formula unit. Its energy above the most stable polymorph in this dataset is 0 meV per atom. The formation enthalpy at 0 K comes out at 0.38 eV per atom.



4.
Computed, not measured: a relaxed Pm2SmHo2 crystal at the GGA-PBE level of DFT.

The structure in POSCAR format:
```
Pm2SmHo2
1.0
-1.5696 0.9853 -4.2105
-2.0944 -4.0921 -0.1769
-4.9382 4.8757 5.4949
Pm Sm Ho
2 1 2
direct
0.7500 0.2500 0.5000
0.2500 0.7500 0.5000
0.0000 0.0000 0.0000
0.4065 0.4065 0.8130
0.5935 0.5935 0.1870
```

Output
Its uncorrected energy is -21.6 eV per formula unit. Its energy above the most stable polymorph in this dataset is 338 meV per atom. The formation enthalpy at 0 K comes out at 0.36 eV per atom.



5.
Computed, not measured: a relaxed Pm12SmHo5 crystal at the GGA-PBE level of DFT.

The structure in POSCAR format:
```
Pm12SmHo5
1.0
-3.6008 2.7182 11.2952
2.0046 -5.6855 8.5559
4.8933 2.9916 0.8444
Pm Sm Ho
12 1 5
direct
0.7978 0.0000 0.4628
0.2022 0.0000 0.5372
0.6981 0.0000 0.9637
0.3019 0.0000 0.0363
0.3297 0.6407 0.9959
0.0297 0.6407 0.0041
0.9703 0.3593 0.9959
0.6703 0.3593 0.0041
0.4701 0.3594 0.5039
0.8295 0.6406 0.5039
0.1705 0.3594 0.4961
0.5299 0.6406 0.4961
0.0000 0.0000 0.0000
0.5000 0.0000 0.5000
0.1364 0.7271 0.5000
0.8636 0.2729 0.5000
0.6361 0.7279 0.0000
0.3639 0.2721 0.0000
```

Output
Its uncorrected energy is -83.1 eV per formula unit. The formation enthalpy at 0 K comes out at 0.08 eV per atom.



6.
Computed, not measured: a relaxed PmSm7Ho2 crystal at the GGA-PBE level of DFT.

The structure in POSCAR format:
```
PmSm7Ho2
1.0
5.6954 0.0000 0.0000
0.0000 9.2034 -0.4560
0.0000 -4.5591 8.0079
Pm Sm Ho
1 7 2
direct
0.0000 0.0000 0.0000
0.0000 0.7766 0.2234
0.0000 0.2234 0.7766
0.5000 0.0630 0.2939
0.5000 0.9370 0.7061
0.5000 0.2939 0.0630
0.5000 0.7061 0.9370
0.5000 0.5000 0.5000
0.5000 0.7042 0.2958
0.5000 0.2958 0.7042
```

Output
Its uncorrected energy is -40.3 eV per formula unit. Its energy above the most stable polymorph in this dataset is 645 meV per atom. The formation enthalpy at 0 K comes out at 0.66 eV per atom.



7.
Computed, not measured: a relaxed Pm3Sm7Ho2 crystal at the GGA-PBE level of DFT.

The structure in POSCAR format:
```
Pm3Sm7Ho2
1.0
3.6057 0.0000 0.0000
0.0000 5.9048 0.2806
0.0000 -1.9526 18.9519
Pm Sm Ho
3 7 2
direct
0.5000 0.5000 0.0000
0.0000 0.2189 0.3665
0.0000 0.7811 0.6335
0.5000 0.7429 0.4641
0.5000 0.2571 0.5359
0.0000 0.6858 0.1450
0.0000 0.0000 0.0000
0.0000 0.3142 0.8550
0.5000 0.8122 0.8198
0.5000 0.1878 0.1802
0.5000 0.7095 0.2951
0.5000 0.2905 0.7049
```

Output
Its uncorrected energy is -55.4 eV per formula unit. Its energy above the most stable polymorph in this dataset is 0 meV per atom. The formation enthalpy at 0 K comes out at 0.09 eV per atom.



8.
Computed, not measured: a relaxed Pm2SmHo9 crystal at the GGA-PBE level of DFT.

The structure in POSCAR format:
```
Pm2SmHo9
1.0
5.8890 0.0000 0.0000
0.0000 5.8890 0.0000
0.0000 0.0000 11.0418
Pm Sm Ho
2 1 9
direct
0.0000 0.0000 0.3333
0.0000 0.0000 0.6667
0.0000 0.0000 0.0000
0.5000 0.5000 0.0000
0.5000 0.5000 0.3334
0.5000 0.5000 0.6666
0.5000 0.0000 0.1663
0.5000 0.0000 0.5000
0.5000 0.0000 0.8337
0.0000 0.5000 0.1663
0.0000 0.5000 0.5000
0.0000 0.5000 0.8337
```

Output
Its uncorrected energy is -53.9 eV per formula unit. Its energy above the most stable polymorph in this dataset is 64 meV per atom. The formation enthalpy at 0 K comes out at 0.12 eV per atom.



Which value of formation enthalpy at 0 K does entry 7 give? 0.09 eV per atom



Look up the formation enthalpy at 0 K of the third one. 0.38 eV per atom



Which value of formation enthalpy at 0 K does entry 3 give? 0.38 eV per atom